Record 1
CsCu4Br7: relaxed, GGA-PBE.

The structure belongs to space group Pmn2_1 (No. 31); the cell edges are 16.2437, 6.7812 and 6.6300 Å and the angles 90.00°, 90.00° and 90.00°. The inequivalent atoms are Cs at (0.0000, 0.1876, 0.0000), Cu at (0.1216, 0.6686, 0.6057), Cu at (0.2498, 0.1764, 0.5936), Br at (0.0000, 0.8325, 0.4810), Br at (0.1212, 0.3278, 0.5050), Br at (0.1222, 0.6967, 0.9703) and Br at (0.2434, 0.8346, 0.4645).

As for the raw formation energy: -0.586 eV/atom.


Record 2
Cs3Cu2Br6: relaxed, GGA-PBE.

The structure belongs to space group I4/mmm (No. 139); the cell edges are 5.1319, 5.1319 and 29.8025 Å and the angles 90.00°, 90.00° and 90.00°. The inequivalent atoms are Cs at (0.0000, 0.0000, 0.0000), Cs at (0.0000, 0.0000, 0.1811), Cu at (0.0000, 0.0000, 0.3928), Br at (0.0000, 0.0000, 0.3076) and Br at (0.0000, 0.5000, 0.0884).

As for the raw formation energy: -1.112 eV/atom.


Record 3
Cs3Cu2Br7: relaxed, GGA-PBE.

The structure belongs to space group Cmmm (No. 65); the cell edges are 5.4248, 27.4535 and 5.2530 Å and the angles 90.00°, 90.00° and 90.00°. The inequivalent atoms are Cs at (0.0000, 0.0000, 0.0000), Cs at (0.0000, 0.1829, 0.0000), Cu at (0.0000, 0.4047, 0.5000), Br at (0.0000, 0.0927, 0.5000), Br at (0.0000, 0.3124, 0.5000), Br at (0.0000, 0.4072, 0.0000) and Br at (0.0000, 0.5000, 0.5000).

The value obtained for the energy above the most stable polymorph in this dataset is 11 meV/atom. As for the raw formation energy: -1.022 eV/atom.


Number 1: E -71.95 eV for the cell shown. Number 2: E -66.04 eV for the cell shown. Number 3: E -69.44 eV for the cell shown.